(1)
The following is a GGA-PBE calculation of Mg6TiNi after structural relaxation, from the Alexandria database. Values from VASP.

Quantum ESPRESSO input file:
```
&SYSTEM
  ibrav = 0, nat = 8, ntyp = 3
/
ATOMIC_SPECIES
Ni 58.69 Ni.upf
Mg 24.30 Mg.upf
Ti 47.87 Ti.upf
ATOMIC_POSITIONS angstrom
Ni 2.946 -3.690 0.000
Mg 4.428 -0.810 0.000
Mg 2.946 3.591 2.412
Mg 1.461 0.922 2.412
Mg 4.432 0.922 2.412
Mg 2.946 -2.057 2.412
Mg 1.465 -0.810 0.000
Ti 2.946 1.933 0.000
CELL_PARAMETERS angstrom
2.946 -5.470 0.000
2.946 5.470 0.000
0.000 0.000 4.824
```

Output
As for the density of states at the Fermi level: 5.17 states/eV per cell. As for the symmetry: No. 38. For the formation energy, the calculation gives 0.1113 eV/atom. For the final energy, the calculation gives -2.79 eV per atom. The calculation puts the magnetic moment at 1.00 Bohr magnetons per cell. Its excess energy over the best structure of this formula in the dataset is 0.25 eV per formula unit.



(2)
The following is a GGA-PBE calculation of MgTi4Ni5 after structural relaxation, from the Alexandria database. Values from VASP.

Quantum ESPRESSO input file:
```
&SYSTEM
  ibrav = 0, nat = 10, ntyp = 3
/
ATOMIC_SPECIES
Ti 47.87 Ti.upf
Ni 58.69 Ni.upf
Mg 24.30 Mg.upf
ATOMIC_POSITIONS angstrom
Ti 0.000 0.000 9.075
Ti 0.000 0.000 3.099
Ti 0.000 0.000 6.113
Ti 0.000 0.000 12.089
Ni 1.512 1.512 1.779
Ni 1.512 1.512 4.597
Ni 1.512 1.512 7.594
Ni 1.512 1.512 10.592
Ni 1.512 1.512 13.410
Mg 0.000 0.000 0.000
CELL_PARAMETERS angstrom
3.024 0.000 0.000
0.000 3.024 0.000
0.000 0.000 15.188
```

Output
As for the density of states at the Fermi level: 12.80 states/eV per cell. As for the symmetry: No. 123. For the formation energy, the calculation gives -0.3459 eV/atom. For the final energy, the calculation gives -6.55 eV per atom. The calculation puts the magnetic moment at 0.00 Bohr magnetons per cell.



(3)
The following is a GGA-PBE calculation of Mg2TiNi2 after structural relaxation, from the Alexandria database. Values from VASP.

Quantum ESPRESSO input file:
```
&SYSTEM
  ibrav = 0, nat = 10, ntyp = 3
/
ATOMIC_SPECIES
Ni 58.69 Ni.upf
Ti 47.87 Ti.upf
Mg 24.30 Mg.upf
ATOMIC_POSITIONS angstrom
Ni -6.585 -0.357 -0.792
Ni -4.572 -1.939 -3.062
Ni -1.806 -0.865 -1.358
Ni -3.819 0.716 0.912
Ti 0.000 0.000 0.000
Ti -4.196 -0.611 -1.075
Mg -5.510 -1.244 1.650
Mg -6.148 -3.006 -0.992
Mg -2.974 -3.421 -1.482
Mg -2.335 -1.660 1.159
CELL_PARAMETERS angstrom
-5.428 1.755 2.391
-2.963 -2.977 -4.541
-0.092 -3.443 2.317
```

Output
As for the density of states at the Fermi level: 4.84 states/eV per cell. As for the symmetry: No. 127. For the formation energy, the calculation gives -0.1460 eV/atom. For the final energy, the calculation gives -4.68 eV per atom. The calculation puts the magnetic moment at 0.00 Bohr magnetons per cell. Its excess energy over the best structure of this formula in the dataset is 0.00 eV per formula unit.



(4)
The following is a GGA-PBE calculation of MgTi2Ni after structural relaxation, from the Alexandria database. Values from VASP.

Quantum ESPRESSO input file:
```
&SYSTEM
  ibrav = 0, nat = 4, ntyp = 3
/
ATOMIC_SPECIES
Ni 58.69 Ni.upf
Ti 47.87 Ti.upf
Mg 24.30 Mg.upf
ATOMIC_POSITIONS angstrom
Ni -2.501 -2.648 2.600
Ti -0.529 -1.894 1.416
Ti 2.555 -4.331 1.912
Mg -0.221 -4.449 2.967
CELL_PARAMETERS angstrom
-1.331 -0.971 3.508
-2.429 -2.995 0.391
3.296 -4.916 2.031
```

Output
As for the density of states at the Fermi level: 5.12 states/eV per cell. As for the symmetry: No. 160. For the formation energy, the calculation gives 0.2158 eV/atom. For the final energy, the calculation gives -5.58 eV per atom. The calculation puts the magnetic moment at 0.00 Bohr magnetons per cell.



(5)
The following is a GGA-PBE calculation of YMgTiNi2 after structural relaxation, from the Alexandria database. Values from VASP.

Quantum ESPRESSO input file:
```
&SYSTEM
  ibrav = 0, nat = 5, ntyp = 4
/
ATOMIC_SPECIES
Ni 58.69 Ni.upf
Y 88.91 Y.upf
Mg 24.30 Mg.upf
Ti 47.87 Ti.upf
ATOMIC_POSITIONS angstrom
Ni -2.046 0.048 -0.953
Ni -0.936 0.331 2.027
Y -3.176 -1.990 1.371
Mg 0.000 0.000 0.000
Ti -0.194 -2.369 0.297
CELL_PARAMETERS angstrom
-4.091 0.097 -1.905
-0.389 -4.738 0.594
-1.872 0.662 4.054
```

Output
As for the density of states at the Fermi level: 7.16 states/eV per cell. As for the symmetry: No. 123. For the formation energy, the calculation gives 0.6780 eV/atom. For the final energy, the calculation gives -4.83 eV per atom. The calculation puts the magnetic moment at 2.31 Bohr magnetons per cell.



(6)
The following is a GGA-PBE calculation of MgTlNi after structural relaxation, from the Alexandria database. Values from VASP.

Quantum ESPRESSO input file:
```
&SYSTEM
  ibrav = 0, nat = 12, ntyp = 3
/
ATOMIC_SPECIES
Tl 204.38 Tl.upf
Mg 24.30 Mg.upf
Ni 58.69 Ni.upf
ATOMIC_POSITIONS angstrom
Tl -2.153 2.787 0.939
Tl -5.561 0.625 0.307
Tl -8.255 3.750 3.493
Tl -4.847 5.912 4.125
Mg -3.449 5.649 0.369
Mg -6.959 0.888 4.063
Mg -5.795 4.430 1.573
Mg -4.613 2.108 2.859
Ni -3.277 4.367 2.661
Ni -7.131 2.171 1.771
Ni -5.968 5.712 -0.719
Ni -4.441 0.826 5.151
CELL_PARAMETERS angstrom
-5.020 0.286 -1.940
-3.858 -0.415 5.676
-1.530 6.667 0.696
```

Output
As for the density of states at the Fermi level: 6.35 states/eV per cell. As for the symmetry: No. 11. For the formation energy, the calculation gives 0.0135 eV/atom. For the final energy, the calculation gives -3.23 eV per atom. The calculation puts the magnetic moment at 0.00 Bohr magnetons per cell.



(7)
The following is a GGA-PBE calculation of MgTlNi after structural relaxation, from the Alexandria database. Values from VASP.

Quantum ESPRESSO input file:
```
&SYSTEM
  ibrav = 0, nat = 3, ntyp = 3
/
ATOMIC_SPECIES
Tl 204.38 Tl.upf
Mg 24.30 Mg.upf
Ni 58.69 Ni.upf
ATOMIC_POSITIONS angstrom
Tl 1.478 -1.102 2.440
Mg 0.002 0.002 0.002
Ni -0.626 0.368 2.963
CELL_PARAMETERS angstrom
-3.605 0.917 2.597
2.683 -3.518 1.004
1.775 1.869 1.805
```

Output
As for the density of states at the Fermi level: 1.69 states/eV per cell. As for the symmetry: No. 156. For the formation energy, the calculation gives 0.0939 eV/atom. For the final energy, the calculation gives -3.15 eV per atom. The calculation puts the magnetic moment at 0.00 Bohr magnetons per cell.



(8)
The following is a GGA-PBE calculation of Mg8Tl2Ni after structural relaxation, from the Alexandria database. Values from VASP.

Quantum ESPRESSO input file:
```
&SYSTEM
  ibrav = 0, nat = 11, ntyp = 3
/
ATOMIC_SPECIES
Mg 24.30 Mg.upf
Tl 204.38 Tl.upf
Ni 58.69 Ni.upf
ATOMIC_POSITIONS angstrom
Mg 0.000 -1.440 5.525
Mg 2.472 -1.564 7.394
Mg 0.000 0.098 2.697
Mg 0.000 5.095 -0.145
Mg 0.000 1.761 5.453
Mg 2.472 4.971 1.725
Mg 2.472 1.770 1.796
Mg 2.472 3.433 4.553
Tl 2.472 0.145 4.670
Tl 0.000 3.386 2.579
Ni 2.472 0.000 0.000
CELL_PARAMETERS angstrom
4.944 0.000 0.000
0.000 6.605 -0.198
-2.472 -3.074 7.448
```

Output
As for the density of states at the Fermi level: 3.78 states/eV per cell. As for the symmetry: No. 12. For the formation energy, the calculation gives -0.0436 eV/atom. For the final energy, the calculation gives -2.16 eV per atom. The calculation puts the magnetic moment at 0.00 Bohr magnetons per cell.



(9)
The following is a GGA-PBE calculation of Mg3TlNi after structural relaxation, from the Alexandria database. Values from VASP.

Quantum ESPRESSO input file:
```
&SYSTEM
  ibrav = 0, nat = 5, ntyp = 3
/
ATOMIC_SPECIES
Mg 24.30 Mg.upf
Ni 58.69 Ni.upf
Tl 204.38 Tl.upf
ATOMIC_POSITIONS angstrom
Mg 0.000 0.000 2.446
Mg 0.000 2.446 0.000
Mg 2.446 0.000 0.000
Ni 0.000 0.000 0.000
Tl 2.446 2.446 2.446
CELL_PARAMETERS angstrom
4.893 0.000 0.000
0.000 4.893 0.000
0.000 0.000 4.893
```

Output
As for the density of states at the Fermi level: 2.38 states/eV per cell. As for the symmetry: No. 221. For the formation energy, the calculation gives 0.0421 eV/atom. For the final energy, the calculation gives -2.54 eV per atom. The calculation puts the magnetic moment at 0.00 Bohr magnetons per cell. Its excess energy over the best structure of this formula in the dataset is 0.57 eV per formula unit.



(10)
The following is a GGA-PBE calculation of MgTl2Ni after structural relaxation, from the Alexandria database. Values from VASP.

Quantum ESPRESSO input file:
```
&SYSTEM
  ibrav = 0, nat = 4, ntyp = 3
/
ATOMIC_SPECIES
Ni 58.69 Ni.upf
Tl 204.38 Tl.upf
Mg 24.30 Mg.upf
ATOMIC_POSITIONS angstrom
Ni -0.173 -18.922 -1.036
Tl -0.003 -0.302 -0.017
Tl -0.113 -12.313 -0.674
Mg -0.058 -6.307 -0.345
CELL_PARAMETERS angstrom
-1.012 -8.304 -2.232
1.927 -8.432 -0.384
-1.147 -8.493 1.235
```

Output
As for the density of states at the Fermi level: 2.59 states/eV per cell. As for the symmetry: No. 166. For the formation energy, the calculation gives 0.1853 eV/atom. For the final energy, the calculation gives -2.84 eV per atom. The calculation puts the magnetic moment at 0.00 Bohr magnetons per cell.